NaGdAg2 | PBE | optimized geometry

It has space group P4/mmm (No. 123), with a = 3.627 Å, b = 3.627 Å, c = 7.447 Å, α = 90.00°, β = 90.00° and γ = 90.00°. The distinct sites, in fractional coordinates, are Na at (0.000, 0.000, 0.000), Gd at (0.000, 0.000, 0.500) and Ag at (0.500, 0.500, 0.262).

The magnetization comes out at 7.31 μB per formula unit. The calculation puts the formation energy at -126 meV/atom.

---

NaGd2Ag | PBE | optimized geometry

It has space group R-3m (No. 166, hexagonal axes), with a = 3.4606 Å, b = 3.4606 Å, c = 35.4334 Å, α = 90.00°, β = 90.00° and γ = 120.00°. The distinct sites, in fractional coordinates, are Na at (0.0000, 0.0000, 0.0000), Gd at (0.0000, 0.0000, 0.0989) and Ag at (0.0000, 0.0000, 0.5000).

The magnetization comes out at 14.96 μB per formula unit. The calculation puts the formation energy at 162 meV/atom.